(1)
The following is a PBE-GGA calculation of an optimized crystal structure of Ac3Dy5H12, from Alexandria.

The space group is Ia-3d (No. 230) and the conventional cell measures 13.7156, 13.7156 and 13.7156 Å, with angles of 90.00, 90.00 and 90.00 degrees. The inequivalent atoms are Ac at (0.0000, 0.2500, 0.1250), Dy at (0.0000, 0.0000, 0.0000), Dy at (0.0000, 0.2500, 0.3750) and H at (0.0141, 0.0636, 0.6492).

The calculation puts the energy at -4.202 eV per atom.

=====

(2)
The following is a PBE-GGA calculation of an optimized crystal structure of Ac3DyH, from Alexandria.

The space group is Pm-3m (No. 221) and the conventional cell measures 5.4905, 5.4905 and 5.4905 Å, with angles of 90.00, 90.00 and 90.00 degrees. The inequivalent atoms are Ac at (0.0000, 0.0000, 0.5000), Dy at (0.5000, 0.5000, 0.5000) and H at (0.0000, 0.0000, 0.0000).

The calculation puts the energy at -4.163 eV per atom.

=====

(3)
The following is a PBE-GGA calculation of an optimized crystal structure of AcDyH2, from Alexandria.

The space group is R3m (No. 160, hexagonal axes) and the conventional cell measures 3.7676, 3.7676 and 19.5539 Å, with angles of 90.00, 90.00 and 120.00 degrees. The inequivalent atoms are Ac at (0.0000, 0.0000, 0.0000), Dy at (0.0000, 0.0000, 0.1840), H at (0.0000, 0.0000, 0.5746) and H at (0.0000, 0.0000, 0.8654).

The energy above the most stable polymorph in this dataset is 178 meV per atom.

=====

(4)
The following is a PBE-GGA calculation of an optimized crystal structure of AcDyH, from Alexandria.

The space group is I4mm (No. 107) and the conventional cell measures 3.5406, 3.5406 and 12.9030 Å, with angles of 90.00, 90.00 and 90.00 degrees. The inequivalent atoms are Ac at (0.0000, 0.0000, 0.0000), Dy at (0.0000, 0.0000, 0.7094) and H at (0.0000, 0.0000, 0.1926).

The energy above the most stable polymorph in this dataset is 136 meV per atom.

=====

(5)
The following is a PBE-GGA calculation of an optimized crystal structure of Ac2DyH8, from Alexandria.

The space group is Immm (No. 71) and the conventional cell measures 4.0369, 5.4243 and 12.0909 Å, with angles of 90.00, 90.00 and 90.00 degrees. The inequivalent atoms are Ac at (0.0000, 0.0000, 0.1682), Dy at (0.0000, 0.0000, 0.5000), H at (0.0000, 0.2425, 0.3526), H at (0.0000, 0.2729, 0.0000) and H at (0.0000, 0.5000, 0.1830).

The calculation puts the energy at -4.167 eV per atom.

=====

(6)
The following is a PBE-GGA calculation of an optimized crystal structure of AcDyH2, from Alexandria.

The space group is R-3m (No. 166, hexagonal axes) and the conventional cell measures 3.7689, 3.7689 and 19.1814 Å, with angles of 90.00, 90.00 and 120.00 degrees. The inequivalent atoms are Ac at (0.0000, 0.0000, 0.0000), Dy at (0.0000, 0.0000, 0.5000) and H at (0.0000, 0.0000, 0.1316).

The energy above the most stable polymorph in this dataset is 0 meV per atom.

=====

(7)
The following is a PBE-GGA calculation of an optimized crystal structure of AcDy2H8, from Alexandria.

The space group is Immm (No. 71) and the conventional cell measures 3.7785, 5.4092 and 11.4250 Å, with angles of 90.00, 90.00 and 90.00 degrees. The inequivalent atoms are Ac at (0.0000, 0.0000, 0.0000), Dy at (0.0000, 0.0000, 0.3286), H at (0.0000, 0.1988, 0.5000), H at (0.0000, 0.2738, 0.1713) and H at (0.0000, 0.5000, 0.3424).

The calculation puts the energy at -4.223 eV per atom.

=====

(8)
The following is a PBE-GGA calculation of an optimized crystal structure of AcDyH, from Alexandria.

The space group is P3m1 (No. 156) and the conventional cell measures 3.7910, 3.7910 and 6.0741 Å, with angles of 90.00, 90.00 and 120.00 degrees. The inequivalent atoms are Ac at (0.0000, 0.0000, 0.0000), Dy at (0.6667, 0.3333, 0.5164) and H at (0.3333, 0.6667, 0.7122).

The energy above the most stable polymorph in this dataset is 0 meV per atom.

=====

(9)
The following is a PBE-GGA calculation of an optimized crystal structure of AcDyH6Ir2, from Alexandria.

The space group is C2/c (No. 15) and the conventional cell measures 7.8513, 9.7710 and 6.6166 Å, with angles of 90.00, 112.26 and 90.00 degrees. The inequivalent atoms are Ac at (0.0000, 0.1462, 0.2500), Dy at (0.0000, 0.4054, 0.7500), H at (0.0760, 0.3889, 0.1222), H at (0.1715, 0.2610, 0.6193), H at (0.2003, 0.0307, 0.0180) and Ir at (0.1936, 0.1404, 0.8161).

The calculation puts the energy at -5.214 eV per atom.

=====

(10)
The following is a PBE-GGA calculation of an optimized crystal structure of AcDyNi2H8, from Alexandria.

The space group is R-3m (No. 166, hexagonal axes) and the conventional cell measures 4.4810, 4.4810 and 20.9574 Å, with angles of 90.00, 90.00 and 120.00 degrees. The inequivalent atoms are Ac at (0.0000, 0.0000, 0.0000), Dy at (0.0000, 0.0000, 0.5000), Ni at (0.0000, 0.0000, 0.2467), H at (0.0000, 0.0000, 0.3228) and H at (0.0378, 0.5189, 0.5522).

The calculation puts the energy at -4.223 eV per atom.

=====

(11)
The following is a PBE-GGA calculation of an optimized crystal structure of Ac2DyH2O6, from Alexandria.

The space group is R-3m (No. 166, hexagonal axes) and the conventional cell measures 5.3373, 5.3373 and 17.1188 Å, with angles of 90.00, 90.00 and 120.00 degrees. The inequivalent atoms are Ac at (0.0000, 0.0000, 0.2182), Dy at (0.0000, 0.0000, 0.0000), H at (0.0000, 0.0000, 0.4262) and O at (0.0182, 0.5091, 0.2434).

The calculation puts the energy at -6.654 eV per atom.

=====

(12)
The following is a PBE-GGA calculation of an optimized crystal structure of AcDyH6Rh2, from Alexandria.

The space group is C2/c (No. 15) and the conventional cell measures 7.8918, 9.6712 and 6.5980 Å, with angles of 90.00, 112.01 and 90.00 degrees. The inequivalent atoms are Ac at (0.0000, 0.1505, 0.2500), Dy at (0.0000, 0.4041, 0.7500), H at (0.0760, 0.3941, 0.1199), H at (0.1707, 0.2594, 0.6222), H at (0.1974, 0.0297, 0.0253) and Rh at (0.1943, 0.1361, 0.8185).

The calculation puts the energy at -4.927 eV per atom.